The following is a PBE calculation of a geometry-optimized ReTcRu2 structure, from Alexandria.

abc: 2.7234 2.7234 7.7315
angles: 90.00 90.00 90.00
Fractional positions:
Ru1 0.0000 0.0000 0.9997
Ru2 0.0000 0.0000 0.5003
Re1 0.5000 0.5000 0.7500
Tc1 0.5000 0.5000 0.2500

Calculated values
Formation energy from the elements   0.026 eV/atom
Polymorph energy (0 for the lowest one)   104 meV/atom